[1]
{
  "formula": "LaNdYHo",
  "functional": "PBE-GGA",
  "state": "relaxed",
  "cell": [[-2.575, 2.575, 5.125], [2.575, -2.575, 5.125], [2.575, 2.575, -5.125]],
  "species": ["La", "Nd", "Y", "Ho"],
  "frac_coords": [[0.000, 0.000, 0.000], [0.750, 0.250, 0.500], [0.500, 0.500, 0.000], [0.250, 0.750, 0.500]],
  "e_tot_ev_per_atom": -5.15,
  "delta_e_f_ev_per_fu": 0.1,
  "sg": "I-4m2 (119)",
  "crystal_system": "tetragonal",
  "de_polymorph_ev_per_atom": 0.000
}

---

[2]
{
  "formula": "Ce2PrGd",
  "functional": "PBE-GGA",
  "state": "relaxed",
  "cell": [[4.944, 0.000, 0.000], [0.000, 4.944, 0.000], [0.000, 0.000, 5.159]],
  "species": ["Ce", "Ce", "Pr", "Gd"],
  "frac_coords": [[0.000, 0.500, 0.000], [0.500, 0.000, 0.000], [0.000, 0.000, 0.500], [0.500, 0.500, 0.500]],
  "e_tot_ev_per_atom": -7.56,
  "delta_e_f_ev_per_fu": 0.5,
  "sg": "P4/mmm (123)",
  "crystal_system": "tetragonal",
  "de_polymorph_ev_per_atom": 0.000
}

---

[3]
{
  "formula": "SiNi3H",
  "functional": "PBE-GGA",
  "state": "relaxed",
  "cell": [[4.220, 0.000, 0.000], [0.000, 4.220, 0.000], [0.000, 0.000, 4.220]],
  "species": ["Si", "Ni", "Ni", "Ni", "H"],
  "frac_coords": [[0.000, 0.000, 0.000], [0.000, 0.000, 0.500], [0.000, 0.500, 0.000], [0.500, 0.000, 0.000], [0.500, 0.500, 0.500]],
  "e_tot_ev_per_atom": -4.21,
  "sg": "Pm-3m (221)",
  "crystal_system": "cubic",
  "de_polymorph_ev_per_atom": 1.348
}

---

[4]
{
  "formula": "Dy2HoSe4",
  "functional": "PBE-GGA",
  "state": "relaxed",
  "cell": [[7.517, -2.045, 0.000], [7.517, 2.045, 0.000], [-3.229, 0.000, 6.378]],
  "species": ["Dy", "Dy", "Ho", "Se", "Se", "Se", "Se"],
  "frac_coords": [[0.234, 0.234, 0.224], [0.766, 0.766, 0.776], [0.500, 0.500, 0.500], [0.134, 0.134, 0.489], [0.378, 0.378, 0.058], [0.622, 0.622, 0.942], [0.866, 0.866, 0.511]],
  "e_tot_ev_per_atom": -5.78,
  "sg": "C2/m (12)",
  "e_form_raw_mev_per_atom": -1823,
  "crystal_system": "monoclinic"
}

---

[5]
{
  "formula": "LiErBiIr",
  "functional": "PBE-GGA",
  "state": "relaxed",
  "cell": [[0.000, 3.386, 3.386], [3.386, 0.000, 3.386], [3.386, 3.386, 0.000]],
  "species": ["Li", "Er", "Bi", "Ir"],
  "frac_coords": [[0.000, 0.000, 0.000], [0.250, 0.250, 0.250], [0.750, 0.750, 0.750], [0.500, 0.500, 0.500]],
  "e_tot_ev_per_atom": -5.37,
  "delta_e_f_ev_per_fu": -2.2,
  "sg": "F-43m (216)",
  "crystal_system": "cubic"
}

---

[6]
{
  "formula": "CaVTe2",
  "functional": "PBE-GGA",
  "state": "relaxed",
  "cell": [[-3.357, 3.357, 6.542], [3.357, -3.357, 6.542], [3.357, 3.357, -6.542]],
  "species": ["Ca", "Ca", "V", "V", "Te", "Te", "Te", "Te"],
  "frac_coords": [[0.000, 0.000, 0.000], [0.750, 0.250, 0.500], [0.250, 0.750, 0.500], [0.500, 0.500, 0.000], [0.172, 0.625, 0.047], [0.375, 0.422, 0.547], [0.578, 0.125, 0.953], [0.875, 0.828, 0.453]],
  "e_tot_ev_per_atom": -4.93,
  "sg": "I-42d (122)",
  "e_form_raw_mev_per_atom": -580,
  "crystal_system": "tetragonal",
  "de_polymorph_ev_per_atom": 0.000
}

---

[7]
{
  "formula": "TcSbI2O",
  "functional": "PBE-GGA",
  "state": "relaxed",
  "cell": [[4.983, 0.000, 0.000], [0.000, 4.983, 0.000], [0.000, 0.000, 4.481]],
  "species": ["Tc", "Sb", "I", "I", "O"],
  "frac_coords": [[0.000, 0.000, 0.000], [0.500, 0.500, 0.000], [0.000, 0.500, 0.500], [0.500, 0.000, 0.500], [0.500, 0.500, 0.500]],
  "e_tot_ev_per_atom": -3.49,
  "sg": "P4/mmm (123)",
  "e_form_raw_mev_per_atom": 1020,
  "crystal_system": "tetragonal",
  "de_polymorph_ev_per_atom": 1.077
}

---

[8]
{
  "formula": "Dy2Tm3Tl3",
  "functional": "PBE-GGA",
  "state": "relaxed",
  "cell": [[4.927, 0.000, 0.000], [0.000, 4.941, 0.000], [0.000, 0.000, 9.048]],
  "species": ["Dy", "Dy", "Tm", "Tm", "Tm", "Tl", "Tl", "Tl"],
  "frac_coords": [[0.000, 0.000, 0.239], [0.000, 0.000, 0.761], [0.500, 0.000, 0.500], [0.500, 0.500, 0.236], [0.500, 0.500, 0.764], [0.000, 0.500, 0.000], [0.000, 0.500, 0.500], [0.500, 0.000, 0.000]],
  "e_tot_ev_per_atom": -3.93,
  "delta_e_f_ev_per_fu": -1.7,
  "sg": "Pmmm (47)",
  "crystal_system": "orthorhombic",
  "de_polymorph_ev_per_atom": 0.022
}

---

[9]
{
  "formula": "NaRuF4",
  "functional": "PBE-GGA",
  "state": "relaxed",
  "cell": [[-3.118, 3.118, 2.818], [3.118, -3.118, 2.818], [3.118, 3.118, -2.818]],
  "species": ["Na", "Ru", "F", "F", "F", "F"],
  "frac_coords": [[0.000, 0.000, 0.000], [0.750, 0.250, 0.500], [0.006, 0.081, 0.597], [0.485, 0.410, 0.403], [0.590, 0.994, 0.075], [0.919, 0.515, 0.925]],
  "e_tot_ev_per_atom": -4.86,
  "sg": "I-4 (82)",
  "e_form_raw_mev_per_atom": -1847,
  "crystal_system": "tetragonal"
}

---

[10]
{
  "formula": "Li2PuGa",
  "functional": "PBE-GGA",
  "state": "relaxed",
  "cell": [[1.352, 0.781, 10.553], [-1.352, 0.781, 10.553], [0.000, -1.561, 10.553]],
  "species": ["Li", "Li", "Pu", "Ga"],
  "frac_coords": [[0.092, 0.092, 0.092], [0.908, 0.908, 0.908], [0.000, 0.000, 0.000], [0.500, 0.500, 0.500]],
  "e_tot_ev_per_atom": -5.09,
  "delta_e_f_ev_per_fu": 0.8,
  "sg": "R-3m (166)",
  "crystal_system": "trigonal",
  "de_polymorph_ev_per_atom": 0.157
}

---

[11]
{
  "formula": "Bi2SbSe6",
  "functional": "PBE-GGA",
  "state": "relaxed",
  "cell": [[6.632, 0.000, 0.000], [0.000, 6.632, 0.000], [0.000, 0.000, 13.019]],
  "species": ["Bi", "Bi", "Bi", "Bi", "Sb", "Sb", "Se", "Se", "Se", "Se", "Se", "Se", "Se", "Se", "Se", "Se", "Se", "Se"],
  "frac_coords": [[0.000, 0.000, 0.167], [0.000, 0.000, 0.833], [0.500, 0.500, 0.333], [0.500, 0.500, 0.667], [0.000, 0.000, 0.500], [0.500, 0.500, 0.000], [0.190, 0.190, 0.343], [0.190, 0.190, 0.657], [0.208, 0.208, 0.000], [0.292, 0.708, 0.500], [0.310, 0.690, 0.157], [0.310, 0.690, 0.843], [0.690, 0.310, 0.157], [0.690, 0.310, 0.843], [0.708, 0.292, 0.500], [0.792, 0.792, 0.000], [0.810, 0.810, 0.343], [0.810, 0.810, 0.657]],
  "e_tot_ev_per_atom": -3.64,
  "sg": "P4_2/mnm (136)",
  "e_form_raw_mev_per_atom": 0,
  "crystal_system": "tetragonal"
}

---

[12]
{
  "formula": "Na2USnS4",
  "functional": "PBE-GGA",
  "state": "relaxed",
  "cell": [[6.964, 0.000, 0.000], [0.000, 4.051, 0.000], [-2.381, 0.000, 6.811]],
  "species": ["Na", "Na", "U", "Sn", "S", "S", "S", "S"],
  "frac_coords": [[0.000, 0.000, 0.000], [0.000, 0.500, 0.500], [0.500, 0.000, 0.500], [0.500, 0.500, 0.000], [0.272, 0.000, 0.734], [0.274, 0.500, 0.271], [0.726, 0.500, 0.729], [0.728, 0.000, 0.266]],
  "e_tot_ev_per_atom": -5.42,
  "sg": "P2/m (10)",
  "e_form_raw_mev_per_atom": -1113,
  "crystal_system": "monoclinic"
}

---

[13]
{
  "formula": "MgAlNi",
  "functional": "PBE-GGA",
  "state": "relaxed",
  "cell": [[-2.575, 2.586, 3.379], [2.575, -2.586, 3.379], [2.575, 2.586, -3.379]],
  "species": ["Mg", "Mg", "Al", "Al", "Ni", "Ni"],
  "frac_coords": [[0.361, 0.111, 0.250], [0.639, 0.889, 0.750], [0.000, 0.500, 0.500], [0.500, 0.500, 0.000], [0.000, 0.000, 0.500], [0.000, 0.500, 0.000]],
  "e_tot_ev_per_atom": -4.09,
  "delta_e_f_ev_per_fu": -1.1,
  "sg": "Imma (74)",
  "crystal_system": "orthorhombic"
}